# 1
# PBE NaCu6Te4, relaxed
# Formation energy without anion corrections = -1.244 eV/f.u.
# D(E_F) = 0.25 states/eV per atom
# Volume = 471.6 Å³/cell
# Offset from the most stable computed form = 0.000 eV/atom
# Total moment = 0.000 μB/atom
data_NaCu6Te4
_space_group_name_H-M_alt 'I 4/m m m'
_space_group_IT_number 139
_space_group_name_Hall '-I 4 2'
_cell_length_a 4.075
_cell_length_b 4.075
_cell_length_c 28.403
_cell_angle_alpha 90.00
_cell_angle_beta 90.00
_cell_angle_gamma 90.00
loop_
_atom_site_label
_atom_site_type_symbol
_atom_site_fract_x
_atom_site_fract_y
_atom_site_fract_z
_atom_site_occupancy
Na1 Na 0.000 0.000 0.000 1
Cu1 Cu 0.000 0.500 0.126 1
Cu2 Cu 0.000 0.500 0.250 1
Te1 Te 0.000 0.000 0.189 1
Te2 Te 0.000 0.000 0.431 1

---

# 2
# PBE Tb5Pm4Th4, relaxed
# D(E_F) = 1.31 states/eV per atom
# Volume = 855.3 Å³/cell
# Energy of formation = 0.036 eV/atom
# Total moment = 0.000 μB/atom
data_Tb5Pm4Th4
_space_group_name_H-M_alt 'I 4/m'
_space_group_IT_number 87
_space_group_name_Hall '-I 4'
_cell_length_a 12.983
_cell_length_b 12.983
_cell_length_c 5.074
_cell_angle_alpha 90.00
_cell_angle_beta 90.00
_cell_angle_gamma 90.00
loop_
_atom_site_label
_atom_site_type_symbol
_atom_site_fract_x
_atom_site_fract_y
_atom_site_fract_z
_atom_site_occupancy
Tb1 Tb 0.000 0.000 0.000 1
Tb2 Tb 0.038 0.804 0.500 1
Pm1 Pm 0.152 0.233 0.000 1
Th1 Th 0.075 0.612 0.000 1

---

# 3
# PBE ScSiOsRu, relaxed
# Formation energy without anion corrections = -1.993 eV/f.u.
# D(E_F) = 0.68 states/eV per atom
# Volume = 231.3 Å³/cell
# Total moment = 0.000 μB/atom
data_ScSiOsRu
_space_group_name_H-M_alt 'F -4 3 m'
_space_group_IT_number 216
_space_group_name_Hall 'F -4 2 3'
_cell_length_a 6.138
_cell_length_b 6.138
_cell_length_c 6.138
_cell_angle_alpha 90.00
_cell_angle_beta 90.00
_cell_angle_gamma 90.00
loop_
_atom_site_label
_atom_site_type_symbol
_atom_site_fract_x
_atom_site_fract_y
_atom_site_fract_z
_atom_site_occupancy
Sc1 Sc 0.000 0.000 0.000 1
Si1 Si 0.000 0.000 0.500 1
Os1 Os 0.250 0.250 0.750 1
Ru1 Ru 0.250 0.250 0.250 1

---

# 4
# PBE SrTcGe3, relaxed
# D(E_F) = 1.67 states/eV per atom
# Volume = 151.4 Å³/cell
# Energy of formation = 2.133 eV/atom
# Offset from the most stable computed form = 2.452 eV/atom
# Total moment = 0.048 μB/atom
data_SrTcGe3
_space_group_name_H-M_alt 'P m -3 m'
_space_group_IT_number 221
_space_group_name_Hall '-P 4 2 3'
_cell_length_a 5.330
_cell_length_b 5.330
_cell_length_c 5.330
_cell_angle_alpha 90.00
_cell_angle_beta 90.00
_cell_angle_gamma 90.00
loop_
_atom_site_label
_atom_site_type_symbol
_atom_site_fract_x
_atom_site_fract_y
_atom_site_fract_z
_atom_site_occupancy
Sr1 Sr 0.000 0.000 0.000 1
Tc1 Tc 0.500 0.500 0.500 1
Ge1 Ge 0.000 0.000 0.500 1

---

# 5
# PBE VAgSe2, relaxed
# Formation energy without anion corrections = -1.623 eV/f.u.
# D(E_F) = 0.63 states/eV per atom
# Volume = 241.4 Å³/cell
# Total moment = 0.000 μB/atom
data_VAgSe2
_space_group_name_H-M_alt 'R -3 m'
_space_group_IT_number 166
_space_group_name_Hall '-R 3 2"'
_cell_length_a 3.3451
_cell_length_b 3.3451
_cell_length_c 24.9064
_cell_angle_alpha 90.00
_cell_angle_beta 90.00
_cell_angle_gamma 120.00
loop_
_atom_site_label
_atom_site_type_symbol
_atom_site_fract_x
_atom_site_fract_y
_atom_site_fract_z
_atom_site_occupancy
V1 V 0.0000 0.0000 0.0000 1
Ag1 Ag 0.0000 0.0000 0.5000 1
Se1 Se 0.0000 0.0000 0.3962 1

---

# 6
# PBE CrBH3, relaxed
# D(E_F) = 0.22 states/eV per atom
# Volume = 25.1 Å³/cell
# Offset from the most stable computed form = 0.000 eV/atom
# Total moment = 0.004 μB/atom
data_CrBH3
_space_group_name_H-M_alt 'P m -3 m'
_space_group_IT_number 221
_space_group_name_Hall '-P 4 2 3'
_cell_length_a 2.927
_cell_length_b 2.927
_cell_length_c 2.927
_cell_angle_alpha 90.00
_cell_angle_beta 90.00
_cell_angle_gamma 90.00
loop_
_atom_site_label
_atom_site_type_symbol
_atom_site_fract_x
_atom_site_fract_y
_atom_site_fract_z
_atom_site_occupancy
Cr1 Cr 0.000 0.000 0.000 1
B1 B 0.500 0.500 0.500 1
H1 H 0.000 0.500 0.500 1

---

# 7
# PBE Sm4PtBr5, relaxed
# Formation energy without anion corrections = -15.311 eV/f.u.
# D(E_F) = 0.55 states/eV per atom
# Volume = 663.6 Å³/cell
# Total moment = 0.000 μB/atom
data_Sm4PtBr5
_space_group_name_H-M_alt 'C 1 2/m 1'
_space_group_IT_number 12
_space_group_name_Hall '-C 2y'
_cell_length_a 18.987
_cell_length_b 4.120
_cell_length_c 8.714
_cell_angle_alpha 90.00
_cell_angle_beta 103.22
_cell_angle_gamma 90.00
loop_
_atom_site_label
_atom_site_type_symbol
_atom_site_fract_x
_atom_site_fract_y
_atom_site_fract_z
_atom_site_occupancy
Sm1 Sm 0.001 0.000 0.220 1
Sm2 Sm 0.152 0.500 0.083 1
Pt1 Pt 0.000 0.500 0.000 1
Br1 Br 0.000 0.500 0.500 1
Br2 Br 0.168 0.000 0.334 1
Br3 Br 0.175 0.000 0.844 1

---

# 8
# PBE Sr2MgGa3Cu4, relaxed
# D(E_F) = 0.59 states/eV per atom
# Volume = 200.0 Å³/cell
# Energy of formation = -0.254 eV/atom
# Total moment = 0.000 μB/atom
data_Sr2MgGa3Cu4
_space_group_name_H-M_alt 'P -4 m 2'
_space_group_IT_number 115
_space_group_name_Hall 'P -4 -2'
_cell_length_a 4.326
_cell_length_b 4.326
_cell_length_c 10.689
_cell_angle_alpha 90.00
_cell_angle_beta 90.00
_cell_angle_gamma 90.00
loop_
_atom_site_label
_atom_site_type_symbol
_atom_site_fract_x
_atom_site_fract_y
_atom_site_fract_z
_atom_site_occupancy
Sr1 Sr 0.000 0.500 0.237 1
Mg1 Mg 0.000 0.000 0.500 1
Ga1 Ga 0.000 0.500 0.882 1
Ga2 Ga 0.500 0.500 0.500 1
Cu1 Cu 0.000 0.000 0.000 1
Cu2 Cu 0.000 0.500 0.644 1
Cu3 Cu 0.500 0.500 0.000 1

---

# 9
# PBE NbAlMo, relaxed
# D(E_F) = 0.68 states/eV per atom
# Volume = 413.2 Å³/cell
# Energy of formation = 0.223 eV/atom
# Offset from the most stable computed form = 0.404 eV/atom
# Total moment = 0.000 μB/atom
data_NbAlMo
_space_group_name_H-M_alt 'C m c e'
_space_group_IT_number 64
_space_group_name_Hall '-C 2ac 2'
_cell_length_a 5.314
_cell_length_b 14.460
_cell_length_c 5.378
_cell_angle_alpha 90.00
_cell_angle_beta 90.00
_cell_angle_gamma 90.00
loop_
_atom_site_label
_atom_site_type_symbol
_atom_site_fract_x
_atom_site_fract_y
_atom_site_fract_z
_atom_site_occupancy
Nb1 Nb 0.248 0.000 0.000 1
Al1 Al 0.000 0.148 0.281 1
Mo1 Mo 0.000 0.170 0.781 1

---

# 10
# PBE NdYNiOs, relaxed
# D(E_F) = 0.66 states/eV per atom
# Volume = 331.8 Å³/cell
# Energy of formation = -0.151 eV/atom
# Total moment = 0.000 μB/atom
data_NdYNiOs
_space_group_name_H-M_alt 'F -4 3 m'
_space_group_IT_number 216
_space_group_name_Hall 'F -4 2 3'
_cell_length_a 6.923
_cell_length_b 6.923
_cell_length_c 6.923
_cell_angle_alpha 90.00
_cell_angle_beta 90.00
_cell_angle_gamma 90.00
loop_
_atom_site_label
_atom_site_type_symbol
_atom_site_fract_x
_atom_site_fract_y
_atom_site_fract_z
_atom_site_occupancy
Nd1 Nd 0.000 0.000 0.000 1
Y1 Y 0.000 0.000 0.500 1
Ni1 Ni 0.250 0.250 0.250 1
Os1 Os 0.250 0.250 0.750 1

---

# 11
# PBE Hg2GeAs, relaxed
# D(E_F) = 0.67 states/eV per atom
# Volume = 451.6 Å³/cell
# Energy of formation = 0.395 eV/atom
# Offset from the most stable computed form = 0.007 eV/atom
# Total moment = 0.000 μB/atom
data_Hg2GeAs
_space_group_name_H-M_alt 'I -4 2 d'
_space_group_IT_number 122
_space_group_name_Hall 'I -4 2bw'
_cell_length_a 6.756
_cell_length_b 6.756
_cell_length_c 9.894
_cell_angle_alpha 90.00
_cell_angle_beta 90.00
_cell_angle_gamma 90.00
loop_
_atom_site_label
_atom_site_type_symbol
_atom_site_fract_x
_atom_site_fract_y
_atom_site_fract_z
_atom_site_occupancy
Hg1 Hg 0.244 0.250 0.125 1
Ge1 Ge 0.000 0.000 0.500 1
As1 As 0.000 0.000 0.000 1

---

# 12
# PBE MgScMo2, relaxed
# D(E_F) = 0.92 states/eV per atom
# Volume = 148.0 Å³/cell
# Energy of formation = 0.158 eV/atom
# Total moment = 0.000 μB/atom
data_MgScMo2
_space_group_name_H-M_alt 'C m m 2'
_space_group_IT_number 35
_space_group_name_Hall 'C 2 -2'
_cell_length_a 3.263
_cell_length_b 4.762
_cell_length_c 9.523
_cell_angle_alpha 90.00
_cell_angle_beta 90.00
_cell_angle_gamma 90.00
loop_
_atom_site_label
_atom_site_type_symbol
_atom_site_fract_x
_atom_site_fract_y
_atom_site_fract_z
_atom_site_occupancy
Mg1 Mg 0.000 0.000 0.000 1
Sc1 Sc 0.000 0.500 0.709 1
Mo1 Mo 0.000 0.000 0.465 1
Mo2 Mo 0.000 0.500 0.253 1

---

Look up the D(E_F) of the tenth one.
0.66 states/eV per atom